Record 1
Material: NbH2Ru2
Method: DFT, GGA-PBE
State: relaxed

Unit cell a=5.977 b=5.977 c=3.046 alpha=90.00 beta=90.00 gamma=90.00
Fractional positions:
Nb: 0.000 0.000 0.000
Nb: 0.500 0.500 0.000
H: 0.232 0.268 0.000
H: 0.268 0.768 0.000
H: 0.732 0.232 0.000
H: 0.768 0.732 0.000
Ru: 0.150 0.650 0.500
Ru: 0.350 0.150 0.500
Ru: 0.650 0.850 0.500
Ru: 0.850 0.350 0.500

The total energy comes out at -6.964 eV per atom. The value obtained for the energy above the lowest structure with this stoichiometry is 0.086 eV/atom. Its density of states at the Fermi level is 6.91 states/eV/cell.

Record 2
Material: Nb3H12Ru5
Method: DFT, GGA-PBE
State: relaxed

Unit cell a=9.463 b=9.463 c=9.463 alpha=109.47 beta=109.47 gamma=109.47
Fractional positions:
Nb: 0.125 0.250 0.375
Nb: 0.125 0.375 0.750
Nb: 0.250 0.375 0.125
Nb: 0.250 0.875 0.625
Nb: 0.375 0.125 0.250
Nb: 0.375 0.750 0.125
Nb: 0.625 0.250 0.875
Nb: 0.625 0.875 0.750
Nb: 0.750 0.125 0.375
Nb: 0.750 0.625 0.875
Nb: 0.875 0.625 0.250
Nb: 0.875 0.750 0.625
H: 0.047 0.216 0.128
H: 0.047 0.331 0.919
H: 0.081 0.628 0.412
H: 0.081 0.953 0.669
H: 0.088 0.716 0.669
H: 0.088 0.872 0.419
H: 0.128 0.047 0.216
H: 0.128 0.581 0.912
H: 0.169 0.216 0.588
H: 0.169 0.453 0.581
H: 0.216 0.128 0.047
H: 0.216 0.588 0.169
H: 0.284 0.331 0.912
H: 0.284 0.453 0.372
H: 0.331 0.912 0.284
H: 0.331 0.919 0.047
H: 0.372 0.284 0.453
H: 0.372 0.588 0.919
H: 0.412 0.081 0.628
H: 0.412 0.831 0.784
H: 0.419 0.088 0.872
H: 0.419 0.831 0.547
H: 0.453 0.372 0.284
H: 0.453 0.581 0.169
H: 0.547 0.419 0.831
H: 0.547 0.628 0.716
H: 0.581 0.169 0.453
H: 0.581 0.912 0.128
H: 0.588 0.169 0.216
H: 0.588 0.919 0.372
H: 0.628 0.412 0.081
H: 0.628 0.716 0.547
H: 0.669 0.081 0.953
H: 0.669 0.088 0.716
H: 0.716 0.547 0.628
H: 0.716 0.669 0.088
H: 0.784 0.412 0.831
H: 0.784 0.872 0.953
H: 0.831 0.547 0.419
H: 0.831 0.784 0.412
H: 0.872 0.419 0.088
H: 0.872 0.953 0.784
H: 0.912 0.128 0.581
H: 0.912 0.284 0.331
H: 0.919 0.047 0.331
H: 0.919 0.372 0.588
H: 0.953 0.669 0.081
H: 0.953 0.784 0.872
Ru: 0.000 0.000 0.000
Ru: 0.000 0.000 0.500
Ru: 0.000 0.500 0.000
Ru: 0.000 0.500 0.500
Ru: 0.125 0.750 0.875
Ru: 0.125 0.875 0.250
Ru: 0.250 0.125 0.875
Ru: 0.250 0.625 0.375
Ru: 0.375 0.250 0.625
Ru: 0.375 0.625 0.750
Ru: 0.500 0.000 0.000
Ru: 0.500 0.000 0.500
Ru: 0.500 0.500 0.000
Ru: 0.500 0.500 0.500
Ru: 0.625 0.375 0.250
Ru: 0.625 0.750 0.375
Ru: 0.750 0.375 0.625
Ru: 0.750 0.875 0.125
Ru: 0.875 0.125 0.750
Ru: 0.875 0.250 0.125

The total energy comes out at -5.770 eV per atom. Its density of states at the Fermi level is 52.83 states/eV/cell.

Record 3
Material: NbHRu3
Method: DFT, GGA-PBE
State: relaxed

Unit cell a=4.373 b=4.373 c=7.918 alpha=90.00 beta=90.00 gamma=120.00
Fractional positions:
Nb: 0.333 0.667 0.250
Nb: 0.667 0.333 0.750
H: 0.000 0.000 0.000
H: 0.000 0.000 0.500
Ru: 0.000 0.000 0.250
Ru: 0.000 0.000 0.750
Ru: 0.333 0.667 0.580
Ru: 0.333 0.667 0.920
Ru: 0.667 0.333 0.080
Ru: 0.667 0.333 0.420

The total energy comes out at -7.870 eV per atom. The value obtained for the energy above the lowest structure with this stoichiometry is 0.541 eV/atom. Its density of states at the Fermi level is 12.34 states/eV/cell.

Record 4
Material: NbHRu3
Method: DFT, GGA-PBE
State: relaxed

Unit cell a=4.883 b=5.290 c=5.609 alpha=104.54 beta=90.63 gamma=117.25
Fractional positions:
Nb: 0.235 0.284 0.210
Nb: 0.765 0.716 0.790
H: 0.259 0.003 0.867
H: 0.741 0.997 0.133
Ru: 0.204 0.253 0.693
Ru: 0.282 0.744 0.065
Ru: 0.296 0.760 0.560
Ru: 0.704 0.240 0.440
Ru: 0.718 0.256 0.935
Ru: 0.796 0.747 0.307

The total energy comes out at -8.393 eV per atom. The value obtained for the energy above the lowest structure with this stoichiometry is 0.018 eV/atom. Its density of states at the Fermi level is 6.63 states/eV/cell.